# Ni2BiSbO6 (PBE+U, optimized geometry)
data_Ni2BiSbO6
_chemical_formula_sum 'Ni6 Bi3 Sb3 O18'
_symmetry_space_group_name_H-M 'R 3'
_symmetry_Int_Tables_number 146
_symmetry_space_group_name_Hall 'R 3'
_cell_length_a 5.3983
_cell_length_b 5.3983
_cell_length_c 14.6317
_cell_angle_alpha 90.00
_cell_angle_beta 90.00
_cell_angle_gamma 120.00
loop_
_atom_site_label
_atom_site_type_symbol
_atom_site_fract_x
_atom_site_fract_y
_atom_site_fract_z
_atom_site_occupancy
Ni1 Ni 0.0000 0.0000 0.0000 1
Ni2 Ni 0.0000 0.0000 0.4910 1
Bi1 Bi 0.0000 0.0000 0.2097 1
Sb1 Sb 0.0000 0.0000 0.6939 1
O1 O 0.0110 0.3383 0.7564 1
O2 O 0.0310 0.6228 0.2671 1
# Calculated density: 7.34 g/cm3
# Spin magnetization: 0.40 μB/atom
# DFT total energy: -5.523 eV/atom


# Sc2NiBiO6 (PBE+U, optimized geometry)
data_Sc2NiBiO6
_chemical_formula_sum 'Sc6 Ni3 Bi3 O18'
_symmetry_space_group_name_H-M 'R 3'
_symmetry_Int_Tables_number 146
_symmetry_space_group_name_Hall 'R 3'
_cell_length_a 5.4602
_cell_length_b 5.4602
_cell_length_c 14.5924
_cell_angle_alpha 90.00
_cell_angle_beta 90.00
_cell_angle_gamma 120.00
loop_
_atom_site_label
_atom_site_type_symbol
_atom_site_fract_x
_atom_site_fract_y
_atom_site_fract_z
_atom_site_occupancy
Sc1 Sc 0.0000 0.0000 0.0000 1
Sc2 Sc 0.0000 0.0000 0.4911 1
Ni1 Ni 0.0000 0.0000 0.7000 1
Bi1 Bi 0.0000 0.0000 0.2106 1
O1 O 0.0072 0.6986 0.0977 1
O2 O 0.0297 0.3011 0.6009 1
# Calculated density: 6.00 g/cm3
# Spin magnetization: 0.11 μB/atom
# DFT total energy: -7.090 eV/atom


# ScNiBi2O6 (PBE+U, optimized geometry)
data_ScNiBi2O6
_chemical_formula_sum 'Sc2 Ni2 Bi4 O12'
_symmetry_space_group_name_H-M 'P 1 21/c 1'
_symmetry_Int_Tables_number 14
_cell_length_a 5.495
_cell_length_b 5.839
_cell_length_c 9.636
_cell_angle_alpha 90.00
_cell_angle_beta 124.58
_cell_angle_gamma 90.00
loop_
_symmetry_equiv_pos_as_xyz
'x,y,z'
'-x,-y,-z'
'-x,y+1/2,-z+1/2'
'x,-y+1/2,z+1/2'
loop_
_atom_site_label
_atom_site_type_symbol
_atom_site_fract_x
_atom_site_fract_y
_atom_site_fract_z
_atom_site_occupancy
Sc1 Sc 0.000 0.000 0.000 1
Ni1 Ni 0.500 0.000 0.500 1
Bi1 Bi 0.260 0.055 0.746 1
O1 O 0.130 0.049 0.253 1
O2 O 0.234 0.688 0.055 1
O3 O 0.378 0.189 0.061 1
# Calculated density: 8.06 g/cm3
# Spin magnetization: 0.16 μB/atom
# DFT total energy: -6.292 eV/atom


Which of these has the lowest calculated density?
Sc2NiBiO6


What is the formula in the second record?
Sc2NiBiO6


Among the records above, which one has the highest calculated density?
ScNiBi2O6


Which formula does entry 3 have?
ScNiBi2O6